No. 1
Here is an optimized crystal structure of HfHRu2Pt from Alexandria via LeMat-Bulk. Energies are from PBE.

Results
**DFT total energy**: -40.344 eV per formula unit

Cell: 3.953 3.953 4.127 Å, 90.00 90.00 90.00°
Fractional coordinates of all 5 atoms:
Hf  0.000  0.000  0.000
H  0.000  0.000  0.500
Ru  0.000  0.500  0.500
Ru  0.500  0.000  0.500
Pt  0.500  0.500  0.000

No. 2
Here is an optimized crystal structure of Hf2ScHPt from Alexandria via LeMat-Bulk. Energies are from PBE.

Results
**DFT total energy**: -34.776 eV per formula unit

Cell: 5.392 5.392 3.348 Å, 90.00 90.00 90.00°
Fractional coordinates of all 5 atoms:
Hf  0.000  0.500  0.000
Hf  0.500  0.000  0.000
Sc  0.000  0.000  0.500
H  0.500  0.500  0.500
Pt  0.500  0.500  0.000

No. 3
Here is an optimized crystal structure of Sr2HfHPt from Alexandria via LeMat-Bulk. Energies are from PBE.

Results
**DFT total energy**: -20.942 eV per formula unit

Cell: 6.157 6.157 3.484 Å, 90.00 90.00 90.00°
Fractional coordinates of all 5 atoms:
Sr  0.000  0.500  0.000
Sr  0.500  0.000  0.000
Hf  0.000  0.000  0.500
H  0.500  0.500  0.500
Pt  0.500  0.500  0.000

No. 4
Here is an optimized crystal structure of Hf2TcHPt from Alexandria via LeMat-Bulk. Energies are from PBE.

Results
**DFT total energy**: -42.806 eV per formula unit

Cell: 4.493 4.493 3.644 Å, 90.00 90.00 90.00°
Fractional coordinates of all 5 atoms:
Hf  0.000  0.500  0.000
Hf  0.500  0.000  0.000
Tc  0.000  0.000  0.500
H  0.000  0.000  0.000
Pt  0.500  0.500  0.500

No. 5
Here is an optimized crystal structure of HfV2HPt from Alexandria via LeMat-Bulk. Energies are from PBE.

Results
**DFT total energy**: -39.366 eV per formula unit

Cell: 3.845 3.845 4.446 Å, 90.00 90.00 90.00°
Fractional coordinates of all 5 atoms:
Hf  0.000  0.000  0.000
V  0.000  0.500  0.500
V  0.500  0.000  0.500
H  0.000  0.000  0.500
Pt  0.500  0.500  0.000

No. 6
Here is an optimized crystal structure of HfHPtW2 from Alexandria via LeMat-Bulk. Energies are from PBE.

Results
**DFT total energy**: -45.640 eV per formula unit

Cell: 3.942 3.942 4.552 Å, 90.00 90.00 90.00°
Fractional coordinates of all 5 atoms:
Hf  0.000  0.000  0.000
H  0.500  0.500  0.500
Pt  0.500  0.500  0.000
W  0.000  0.500  0.500
W  0.500  0.000  0.500

No. 7
Here is an optimized crystal structure of Pu2HfH8 from Alexandria via LeMat-Bulk. Energies are from PBE.

Results
**DFT total energy**: -69.672 eV per formula unit

Cell: 6.398 6.398 6.398 Å, 146.56 136.74 55.76°
Fractional coordinates of all 11 atoms:
Pu  0.175  0.175  0.000
Pu  0.825  0.825  0.000
Hf  0.500  0.500  0.000
H  0.112  0.357  0.755
H  0.264  0.000  0.264
H  0.303  0.803  0.500
H  0.398  0.643  0.755
H  0.602  0.357  0.245
H  0.697  0.197  0.500
H  0.736  0.000  0.736
H  0.888  0.643  0.245

No. 8
Here is an optimized crystal structure of PuHf2H from Alexandria via LeMat-Bulk. Energies are from PBE.

Results
**DFT total energy**: -36.924 eV per formula unit

Cell: 8.802 8.802 8.802 Å, 20.46 20.46 20.46°
Fractional coordinates of all 4 atoms:
Pu  0.000  0.000  0.000
Hf  0.116  0.116  0.116
Hf  0.884  0.884  0.884
H  0.500  0.500  0.500

No. 9
Here is an optimized crystal structure of PuHf2H8 from Alexandria via LeMat-Bulk. Energies are from PBE.

Results
**DFT total energy**: -64.987 eV per formula unit

Cell: 5.859 5.859 5.859 Å, 148.36 122.43 67.19°
Fractional coordinates of all 11 atoms:
Pu  0.000  0.000  0.000
Hf  0.327  0.327  0.000
Hf  0.673  0.673  0.000
H  0.106  0.835  0.271
H  0.173  0.673  0.500
H  0.294  0.500  0.794
H  0.436  0.165  0.271
H  0.564  0.835  0.729
H  0.706  0.500  0.206
H  0.827  0.327  0.500
H  0.894  0.165  0.729

No. 10
Here is an optimized crystal structure of PuHfH5 from Alexandria via LeMat-Bulk. Energies are from PBE.

Results
**DFT total energy**: -44.158 eV per formula unit

Cell: 3.350 3.350 5.455 Å, 90.00 90.00 90.00°
Fractional coordinates of all 7 atoms:
Pu  0.000  0.000  0.000
Hf  0.500  0.500  0.500
H  0.000  0.500  0.292
H  0.000  0.500  0.708
H  0.500  0.000  0.292
H  0.500  0.000  0.708
H  0.500  0.500  0.000

No. 11
Here is an optimized crystal structure of Pu2HfH6 from Alexandria via LeMat-Bulk. Energies are from PBE.

Results
**DFT total energy**: -62.457 eV per formula unit

Cell: 6.168 6.168 3.418 Å, 105.82 105.82 51.70°
Fractional coordinates of all 9 atoms:
Pu  0.156  0.156  0.154
Pu  0.844  0.844  0.846
Hf  0.500  0.500  0.500
H  0.124  0.560  0.344
H  0.291  0.709  0.000
H  0.440  0.876  0.656
H  0.560  0.124  0.344
H  0.709  0.291  0.000
H  0.876  0.440  0.656

No. 12
Here is an optimized crystal structure of PuHf3H from Alexandria via LeMat-Bulk. Energies are from PBE.

Results
**DFT total energy**: -47.721 eV per formula unit

Cell: 4.524 4.524 4.524 Å, 90.00 90.00 90.00°
Fractional coordinates of all 5 atoms:
Pu  0.000  0.000  0.000
Hf  0.000  0.500  0.500
Hf  0.500  0.000  0.500
Hf  0.500  0.500  0.000
H  0.500  0.500  0.500

No. 13
Here is an optimized crystal structure of Pu5Hf3H12 from Alexandria via LeMat-Bulk. Energies are from PBE.

Results
**DFT total energy**: -145.518 eV per formula unit

Cell: 10.763 10.763 10.763 Å, 109.47 109.47 109.47°
Fractional coordinates of all 80 atoms:
Pu  0.000  0.000  0.000
Pu  0.000  0.000  0.500
Pu  0.000  0.500  0.000
Pu  0.000  0.500  0.500
Pu  0.125  0.750  0.875
Pu  0.125  0.875  0.250
Pu  0.250  0.125  0.875
Pu  0.250  0.625  0.375
Pu  0.375  0.250  0.625
Pu  0.375  0.625  0.750
Pu  0.500  0.000  0.000
Pu  0.500  0.000  0.500
Pu  0.500  0.500  0.000
Pu  0.500  0.500  0.500
Pu  0.625  0.375  0.250
Pu  0.625  0.750  0.375
Pu  0.750  0.375  0.625
Pu  0.750  0.875  0.125
Pu  0.875  0.125  0.750
Pu  0.875  0.250  0.125
Hf  0.125  0.250  0.375
Hf  0.125  0.375  0.750
Hf  0.250  0.375  0.125
Hf  0.250  0.875  0.625
Hf  0.375  0.125  0.250
Hf  0.375  0.750  0.125
Hf  0.625  0.250  0.875
Hf  0.625  0.875  0.750
Hf  0.750  0.125  0.375
Hf  0.750  0.625  0.875
Hf  0.875  0.625  0.250
Hf  0.875  0.750  0.625
H  0.072  0.735  0.650
H  0.072  0.837  0.421
H  0.079  0.663  0.428
H  0.079  0.915  0.650
H  0.085  0.235  0.163
H  0.085  0.350  0.921
H  0.150  0.235  0.572
H  0.150  0.415  0.579
H  0.163  0.085  0.235
H  0.163  0.579  0.928
H  0.235  0.163  0.085
H  0.235  0.572  0.150
H  0.265  0.350  0.928
H  0.265  0.415  0.337
H  0.337  0.265  0.415
H  0.337  0.572  0.921
H  0.350  0.921  0.085
H  0.350  0.928  0.265
H  0.415  0.337  0.265
H  0.415  0.579  0.150
H  0.421  0.072  0.837
H  0.421  0.850  0.585
H  0.428  0.079  0.663
H  0.428  0.850  0.765
H  0.572  0.150  0.235
H  0.572  0.921  0.337
H  0.579  0.150  0.415
H  0.579  0.928  0.163
H  0.585  0.421  0.850
H  0.585  0.663  0.735
H  0.650  0.072  0.735
H  0.650  0.079  0.915
H  0.663  0.428  0.079
H  0.663  0.735  0.585
H  0.735  0.585  0.663
H  0.735  0.650  0.072
H  0.765  0.428  0.850
H  0.765  0.837  0.915
H  0.837  0.421  0.072
H  0.837  0.915  0.765
H  0.850  0.585  0.421
H  0.850  0.765  0.428
H  0.915  0.650  0.079
H  0.915  0.765  0.837
H  0.921  0.085  0.350
H  0.921  0.337  0.572
H  0.928  0.163  0.579
H  0.928  0.265  0.350

No. 14
Here is an optimized crystal structure of Pu2Hf2Sb2H from Alexandria via LeMat-Bulk. Energies are from PBE.

Results
**DFT total energy**: -63.544 eV per formula unit

Cell: 8.663 8.663 8.663 Å, 150.71 150.71 41.90°
Fractional coordinates of all 7 atoms:
Pu  0.174  0.174  0.000
Pu  0.826  0.826  0.000
Hf  0.000  0.500  0.500
Hf  0.500  0.000  0.500
Sb  0.372  0.372  0.000
Sb  0.628  0.628  0.000
H  0.000  0.000  0.000

No. 15
Here is an optimized crystal structure of Rb2HfH from Alexandria via LeMat-Bulk. Energies are from PBE.

Results
**DFT total energy**: -9.412 eV per formula unit

Cell: 6.334 6.334 6.334 Å, 60.00 60.00 60.00°
Fractional coordinates of all 4 atoms:
Rb  0.250  0.250  0.250
Rb  0.750  0.750  0.750
Hf  0.000  0.000  0.000
H  0.500  0.500  0.500

No. 16
Here is an optimized crystal structure of Rb2HfH from Alexandria via LeMat-Bulk. Energies are from PBE.

Results
**DFT total energy**: -12.094 eV per formula unit

Cell: 9.746 9.746 9.746 Å, 92.26 92.26 157.07°
Fractional coordinates of all 8 atoms:
Rb  0.375  0.050  0.175
Rb  0.800  0.625  0.675
Rb  0.875  0.200  0.825
Rb  0.950  0.125  0.325
Hf  0.250  0.750  0.500
Hf  0.500  0.500  0.000
H  0.000  0.000  0.000
H  0.750  0.250  0.500

No. 17
Here is an optimized crystal structure of RbHf2H2 from Alexandria via LeMat-Bulk. Energies are from PBE.

Results
**DFT total energy**: -26.139 eV per formula unit

Cell: 7.863 7.863 7.863 Å, 151.00 151.00 41.48°
Fractional coordinates of all 5 atoms:
Rb  0.000  0.000  0.000
Hf  0.283  0.283  0.000
Hf  0.717  0.717  0.000
H  0.250  0.750  0.500
H  0.750  0.250  0.500

No. 18
Here is an optimized crystal structure of RbHf3H from Alexandria via LeMat-Bulk. Energies are from PBE.

Results
**DFT total energy**: -19.237 eV per formula unit

Cell: 5.133 5.133 5.133 Å, 90.00 90.00 90.00°
Fractional coordinates of all 5 atoms:
Rb  0.000  0.000  0.000
Hf  0.000  0.000  0.500
Hf  0.000  0.500  0.000
Hf  0.500  0.000  0.000
H  0.500  0.500  0.500

No. 19
Here is an optimized crystal structure of RbHf3H from Alexandria via LeMat-Bulk. Energies are from PBE.

Results
**DFT total energy**: -29.958 eV per formula unit

Cell: 4.677 4.677 4.677 Å, 90.00 90.00 90.00°
Fractional coordinates of all 5 atoms:
Rb  0.000  0.000  0.000
Hf  0.000  0.500  0.500
Hf  0.500  0.000  0.500
Hf  0.500  0.500  0.000
H  0.500  0.500  0.500

No. 20
Here is an optimized crystal structure of RbHfH2 from Alexandria via LeMat-Bulk. Energies are from PBE.

Results
**DFT total energy**: -16.493 eV per formula unit

Cell: 5.914 5.914 5.914 Å, 119.85 119.85 90.26°
Fractional coordinates of all 8 atoms:
Rb  0.000  0.000  0.000
Rb  0.750  0.250  0.500
Hf  0.250  0.750  0.500
Hf  0.500  0.500  0.000
H  0.255  0.625  0.130
H  0.375  0.505  0.630
H  0.495  0.125  0.870
H  0.875  0.745  0.370

| no. | calculated volume (Å³ per atom) |
| --- | --- |
| 1 | 12.9 |
| 2 | 19.5 |
| 3 | 26.4 |
| 4 | 14.7 |
| 5 | 13.1 |
| 6 | 14.1 |
| 7 | 8.9 |
| 8 | 18.2 |
| 9 | 8.0 |
| 10 | 8.7 |
| 11 | 10.8 |
| 12 | 18.5 |
| 13 | 12.0 |
| 14 | 22.2 |
| 15 | 44.9 |
| 16 | 44.2 |
| 17 | 22.8 |
| 18 | 27.1 |
| 19 | 20.5 |
| 20 | 18.3 |